A plane-wave DFT calculation with PBE was carried out for a relaxed structure of B3PdPt3.

Lattice parameters (Å, degrees): 6.621 6.621 6.621 55.50 55.50 55.50
Atoms (fractional coordinates):
B 0.035 0.781 0.431
B 0.219 0.569 0.965
B 0.431 0.035 0.781
B 0.569 0.965 0.219
B 0.781 0.431 0.035
B 0.965 0.219 0.569
Pd 0.167 0.167 0.167
Pd 0.833 0.833 0.833
Pt 0.100 0.379 0.692
Pt 0.308 0.900 0.621
Pt 0.379 0.692 0.100
Pt 0.621 0.308 0.900
Pt 0.692 0.100 0.379
Pt 0.900 0.621 0.308

Calculated values
Energy relative to the elements in eV/f.u.: -0.295

---

A plane-wave DFT calculation with PBE was carried out for a relaxed structure of BPd3Pt.

Lattice parameters (Å, degrees): 5.819 5.819 5.819 120.33 117.55 91.87
Atoms (fractional coordinates):
B 0.246 0.000 0.246
B 0.754 0.000 0.754
Pd 0.007 0.257 0.749
Pd 0.492 0.743 0.749
Pd 0.500 0.253 0.753
Pd 0.500 0.747 0.247
Pd 0.508 0.257 0.251
Pd 0.993 0.743 0.251
Pt 0.000 0.259 0.259
Pt 0.000 0.741 0.741

Calculated values
Energy relative to the lowest polymorph listed for this composition in meV per atom: 0
Energy relative to the elements in eV/f.u.: -1.141

---

A plane-wave DFT calculation with PBE was carried out for a relaxed structure of BPd2Pt8.

Lattice parameters (Å, degrees): 5.036 5.036 7.067 92.97 92.97 91.05
Atoms (fractional coordinates):
B 0.000 0.000 0.000
Pd 0.180 0.180 0.580
Pd 0.820 0.820 0.420
Pt 0.091 0.714 0.775
Pt 0.286 0.909 0.225
Pt 0.297 0.297 0.952
Pt 0.435 0.435 0.320
Pt 0.565 0.565 0.680
Pt 0.703 0.703 0.048
Pt 0.714 0.091 0.775
Pt 0.909 0.286 0.225

Calculated values
Energy relative to the elements in eV/f.u.: 0.994

---

A plane-wave DFT calculation with PBE was carried out for a relaxed structure of B5Pd2Pt12.

Lattice parameters (Å, degrees): 6.298 6.298 8.513 95.02 95.02 52.58
Atoms (fractional coordinates):
B 0.000 0.000 0.000
B 0.272 0.272 0.883
B 0.346 0.346 0.531
B 0.654 0.654 0.469
B 0.728 0.728 0.117
Pd 0.253 0.747 0.500
Pd 0.747 0.253 0.500
Pt 0.022 0.523 0.347
Pt 0.063 0.063 0.236
Pt 0.120 0.613 0.062
Pt 0.387 0.880 0.938
Pt 0.436 0.436 0.778
Pt 0.477 0.978 0.653
Pt 0.523 0.022 0.347
Pt 0.564 0.564 0.222
Pt 0.613 0.120 0.062
Pt 0.880 0.387 0.938
Pt 0.937 0.937 0.764
Pt 0.978 0.477 0.653

Calculated values
Energy relative to the elements in eV/f.u.: -3.400

---

A plane-wave DFT calculation with PBE was carried out for a relaxed structure of PuB2PdPt5.

Lattice parameters (Å, degrees): 3.962 3.962 9.671 90.00 90.00 90.00
Atoms (fractional coordinates):
Pu 0.000 0.000 0.000
B 0.500 0.500 0.222
B 0.500 0.500 0.778
Pd 0.000 0.000 0.500
Pt 0.000 0.500 0.302
Pt 0.000 0.500 0.698
Pt 0.500 0.000 0.302
Pt 0.500 0.000 0.698
Pt 0.500 0.500 0.000

Calculated values
Energy relative to the elements in eV/f.u.: -2.499

---

A plane-wave DFT calculation with PBE was carried out for a relaxed structure of Pu2BPd2Pt4.

Lattice parameters (Å, degrees): 6.030 6.030 6.030 120.43 120.43 89.26
Atoms (fractional coordinates):
Pu 0.250 0.750 0.500
Pu 0.750 0.250 0.500
B 0.000 0.000 0.000
Pd 0.262 0.262 0.000
Pd 0.738 0.738 0.000
Pt 0.254 0.254 0.508
Pt 0.254 0.746 0.000
Pt 0.746 0.254 0.000
Pt 0.746 0.746 0.492

Calculated values
Energy relative to the elements in eV/f.u.: -5.799

---

A plane-wave DFT calculation with PBE was carried out for a relaxed structure of Pu3B2Pd9Pt.

Lattice parameters (Å, degrees): 5.715 5.715 9.520 90.00 90.00 120.00
Atoms (fractional coordinates):
Pu 0.000 0.000 0.000
Pu 0.333 0.667 0.580
Pu 0.667 0.333 0.420
B 0.333 0.667 0.146
B 0.667 0.333 0.854
Pd 0.000 0.500 0.000
Pd 0.164 0.329 0.272
Pd 0.164 0.836 0.272
Pd 0.329 0.164 0.728
Pd 0.500 0.000 0.000
Pd 0.500 0.500 0.000
Pd 0.671 0.836 0.272
Pd 0.836 0.164 0.728
Pd 0.836 0.671 0.728
Pt 0.000 0.000 0.500

Calculated values
Energy relative to the elements in eV/f.u.: -5.945

---

A plane-wave DFT calculation with PBE was carried out for a relaxed structure of B2PdRuPt.

Lattice parameters (Å, degrees): 3.920 3.920 5.212 90.00 90.00 90.00
Atoms (fractional coordinates):
B 0.000 0.500 0.000
B 0.500 0.000 0.000
Pd 0.000 0.000 0.000
Ru 0.500 0.500 0.500
Pt 0.000 0.000 0.500

Calculated values
Energy relative to the elements in eV/f.u.: 7.141

---

A plane-wave DFT calculation with PBE was carried out for a relaxed structure of ScBPdPt2.

Lattice parameters (Å, degrees): 4.243 4.243 4.260 90.00 90.00 90.00
Atoms (fractional coordinates):
Sc 0.000 0.000 0.000
B 0.500 0.500 0.500
Pd 0.500 0.500 0.000
Pt 0.000 0.500 0.500
Pt 0.500 0.000 0.500

Calculated values
Energy relative to the elements in eV/f.u.: -3.255

---

A plane-wave DFT calculation with PBE was carried out for a relaxed structure of Sm2BPd2Pt4.

Lattice parameters (Å, degrees): 6.066 6.066 6.066 121.55 121.55 87.34
Atoms (fractional coordinates):
Sm 0.250 0.750 0.500
Sm 0.750 0.250 0.500
B 0.000 0.000 0.000
Pd 0.260 0.260 0.000
Pd 0.740 0.740 0.000
Pt 0.255 0.255 0.511
Pt 0.255 0.745 0.000
Pt 0.745 0.255 0.000
Pt 0.745 0.745 0.489

Calculated values
Energy relative to the elements in eV/f.u.: -8.244

---

A plane-wave DFT calculation with PBE was carried out for a relaxed structure of SmB2PdPt5.

Lattice parameters (Å, degrees): 3.994 3.994 9.535 90.00 90.00 90.00
Atoms (fractional coordinates):
Sm 0.000 0.000 0.000
B 0.500 0.500 0.223
B 0.500 0.500 0.777
Pd 0.000 0.000 0.500
Pt 0.000 0.500 0.300
Pt 0.000 0.500 0.700
Pt 0.500 0.000 0.300
Pt 0.500 0.000 0.700
Pt 0.500 0.500 0.000

Calculated values
Energy relative to the elements in eV/f.u.: -3.425

---

A plane-wave DFT calculation with PBE was carried out for a relaxed structure of Sm4B3PdPt12.

Lattice parameters (Å, degrees): 7.780 7.780 7.780 109.47 109.47 109.47
Atoms (fractional coordinates):
Sm 0.000 0.000 0.500
Sm 0.000 0.500 0.000
Sm 0.500 0.000 0.000
Sm 0.500 0.500 0.500
B 0.000 0.500 0.500
B 0.500 0.000 0.500
B 0.500 0.500 0.000
Pd 0.000 0.000 0.000
Pt 0.000 0.281 0.281
Pt 0.000 0.719 0.719
Pt 0.250 0.500 0.750
Pt 0.250 0.750 0.500
Pt 0.281 0.000 0.281
Pt 0.281 0.281 0.000
Pt 0.500 0.250 0.750
Pt 0.500 0.750 0.250
Pt 0.719 0.000 0.719
Pt 0.719 0.719 0.000
Pt 0.750 0.250 0.500
Pt 0.750 0.500 0.250

Calculated values
Energy relative to the elements in eV/f.u.: -12.254

---

A plane-wave DFT calculation with PBE was carried out for a relaxed structure of Sm2B3PdPt12.

Lattice parameters (Å, degrees): 7.381 7.381 7.381 65.47 65.47 65.47
Atoms (fractional coordinates):
Sm 0.103 0.103 0.103
Sm 0.897 0.897 0.897
B 0.000 0.500 0.500
B 0.500 0.000 0.500
B 0.500 0.500 0.000
Pd 0.500 0.500 0.500
Pt 0.109 0.629 0.629
Pt 0.175 0.175 0.589
Pt 0.175 0.589 0.175
Pt 0.371 0.371 0.891
Pt 0.371 0.891 0.371
Pt 0.411 0.825 0.825
Pt 0.589 0.175 0.175
Pt 0.629 0.109 0.629
Pt 0.629 0.629 0.109
Pt 0.825 0.411 0.825
Pt 0.825 0.825 0.411
Pt 0.891 0.371 0.371

Calculated values
Energy relative to the elements in eV/f.u.: -5.895

---

A plane-wave DFT calculation with PBE was carried out for a relaxed structure of Sm3B2PdPt9.

Lattice parameters (Å, degrees): 5.743 5.743 9.528 90.00 90.00 120.00
Atoms (fractional coordinates):
Sm 0.000 0.000 0.000
Sm 0.333 0.667 0.601
Sm 0.667 0.333 0.399
B 0.333 0.667 0.147
B 0.667 0.333 0.853
Pd 0.000 0.000 0.500
Pt 0.000 0.500 0.000
Pt 0.164 0.328 0.278
Pt 0.164 0.836 0.278
Pt 0.328 0.164 0.722
Pt 0.500 0.000 0.000
Pt 0.500 0.500 0.000
Pt 0.672 0.836 0.278
Pt 0.836 0.164 0.722
Pt 0.836 0.672 0.722

Calculated values
Energy relative to the elements in eV/f.u.: -11.541

---

A plane-wave DFT calculation with PBE was carried out for a relaxed structure of Sm2BPd4Pt2.

Lattice parameters (Å, degrees): 6.019 6.019 6.019 120.14 120.14 89.76
Atoms (fractional coordinates):
Sm 0.250 0.750 0.500
Sm 0.750 0.250 0.500
B 0.000 0.000 0.000
Pd 0.260 0.260 0.519
Pd 0.260 0.740 0.000
Pd 0.740 0.260 0.000
Pd 0.740 0.740 0.481
Pt 0.248 0.248 0.000
Pt 0.752 0.752 0.000

Calculated values
Energy relative to the elements in eV/f.u.: -7.772

---

A plane-wave DFT calculation with PBE was carried out for a relaxed structure of SrBPdPt2.

Lattice parameters (Å, degrees): 4.291 4.291 4.618 90.00 90.00 90.00
Atoms (fractional coordinates):
Sr 0.000 0.000 0.000
B 0.500 0.500 0.500
Pd 0.500 0.500 0.000
Pt 0.000 0.500 0.500
Pt 0.500 0.000 0.500

Calculated values
Energy relative to the elements in eV/f.u.: -2.702

---

A plane-wave DFT calculation with PBE was carried out for a relaxed structure of Tb4B3PdPt12.

Lattice parameters (Å, degrees): 7.735 7.735 7.735 109.47 109.47 109.47
Atoms (fractional coordinates):
Tb 0.000 0.000 0.500
Tb 0.000 0.500 0.000
Tb 0.500 0.000 0.000
Tb 0.500 0.500 0.500
B 0.000 0.500 0.500
B 0.500 0.000 0.500
B 0.500 0.500 0.000
Pd 0.000 0.000 0.000
Pt 0.000 0.281 0.281
Pt 0.000 0.719 0.719
Pt 0.250 0.500 0.750
Pt 0.250 0.750 0.500
Pt 0.281 0.000 0.281
Pt 0.281 0.281 0.000
Pt 0.500 0.250 0.750
Pt 0.500 0.750 0.250
Pt 0.719 0.000 0.719
Pt 0.719 0.719 0.000
Pt 0.750 0.250 0.500
Pt 0.750 0.500 0.250

Calculated values
Energy relative to the elements in eV/f.u.: -12.383

---

A plane-wave DFT calculation with PBE was carried out for a relaxed structure of Tb2B3PdPt12.

Lattice parameters (Å, degrees): 7.318 7.318 7.318 66.05 66.05 66.05
Atoms (fractional coordinates):
Tb 0.102 0.102 0.102
Tb 0.898 0.898 0.898
B 0.000 0.500 0.500
B 0.500 0.000 0.500
B 0.500 0.500 0.000
Pd 0.500 0.500 0.500
Pt 0.107 0.632 0.632
Pt 0.174 0.174 0.590
Pt 0.174 0.590 0.174
Pt 0.368 0.368 0.893
Pt 0.368 0.893 0.368
Pt 0.410 0.826 0.826
Pt 0.590 0.174 0.174
Pt 0.632 0.107 0.632
Pt 0.632 0.632 0.107
Pt 0.826 0.410 0.826
Pt 0.826 0.826 0.410
Pt 0.893 0.368 0.368

Calculated values
Energy relative to the elements in eV/f.u.: -5.989

---

A plane-wave DFT calculation with PBE was carried out for a relaxed structure of Tb2BPd2Pt4.

Lattice parameters (Å, degrees): 6.013 6.013 6.013 121.45 121.45 87.51
Atoms (fractional coordinates):
Tb 0.250 0.750 0.500
Tb 0.750 0.250 0.500
B 0.000 0.000 0.000
Pd 0.259 0.259 0.000
Pd 0.741 0.741 0.000
Pt 0.256 0.256 0.511
Pt 0.256 0.744 0.000
Pt 0.744 0.256 0.000
Pt 0.744 0.744 0.489

Calculated values
Energy relative to the elements in eV/f.u.: -8.780

---

A plane-wave DFT calculation with PBE was carried out for a relaxed structure of BTePd2Pt.

Lattice parameters (Å, degrees): 4.925 4.925 4.314 90.00 90.00 90.00
Atoms (fractional coordinates):
B 0.000 0.000 0.000
Te 0.000 0.000 0.500
Pd 0.000 0.500 0.500
Pd 0.500 0.000 0.500
Pt 0.500 0.500 0.000

Calculated values
Energy relative to the lowest polymorph listed for this composition in meV per atom: 1357
Energy relative to the elements, uncorrected in eV/atom: 1.2565

---

| no. | electronic total energy (eV/atom) | volume (A^3/atom) |
| --- | --- | --- |
| 1 | -6.23 | 13.129 |
| 2 | -5.89 | 14.135 |
| 3 | -5.85 | 16.247 |
| 4 | -6.30 | 14.045 |
| 5 | -7.29 | 16.865 |
| 6 | -8.41 | 17.115 |
| 7 | -7.67 | 17.951 |
| 8 | -5.34 | 16.018 |
| 9 | -6.71 | 15.339 |
| 10 | -6.55 | 17.107 |
| 11 | -6.32 | 16.900 |
| 12 | -6.44 | 18.128 |
| 13 | -6.28 | 17.677 |
| 14 | -6.57 | 18.144 |
| 15 | -6.30 | 17.098 |
| 16 | -5.67 | 17.005 |
| 17 | -6.43 | 17.810 |
| 18 | -6.28 | 17.412 |
| 19 | -6.59 | 16.693 |
| 20 | -3.99 | 20.930 |